(1)
Below is a geometry-optimized ScAgSb structure, with properties calculated at the PBE level.

Values from the calculation:
Theoretical density: 6742 kg/m3
SG: I4mm, No. 107
Formation energy from raw total energies: -0.304 eV/atom

```
ScAgSb
1.0
-3.271 -1.501 -3.717
2.261 -1.715 -4.326
0.519 -0.978 5.054
Sc Ag Sb
1 1 1
direct
0.673 0.673 0.000
0.002 0.002 0.000
0.325 0.325 0.000
```

=====

(2)
Below is a geometry-optimized ScAg2Sb structure, with properties calculated at the PBE level.

Values from the calculation:
Theoretical density: 7658 kg/m3
SG: F-43m, No. 216
Formation energy from raw total energies: -0.242 eV/atom

```
ScAg2Sb
1.0
-1.859 4.190 -1.722
-3.645 -2.481 -2.129
0.848 -0.519 4.794
Ag Sc Sb
2 1 1
direct
0.000 0.000 0.000
0.750 0.250 0.500
0.250 0.750 0.500
0.500 0.500 0.000
```